FeI3 after structural relaxation, computed with PBE-GGA. Values from VASP.

Cell and atoms, written as Quantum ESPRESSO input:
```
&SYSTEM
  ibrav = 0, nat = 4, ntyp = 2
/
ATOMIC_SPECIES
I 126.90 I.upf
Fe 55.84 Fe.upf
CELL_PARAMETERS angstrom
6.154 -3.664 -4.124
5.331 -6.132 1.513
-7.755 2.855 0.117
ATOMIC_POSITIONS angstrom
I 5.742 -4.898 -1.306
I 2.071 -2.853 -2.656
Fe 0.000 0.000 0.000
I 1.659 -4.087 0.162
```

Results
Energy: -0.09512 Ha/atom